{"formula": "SiHg2AsN", "functional": "PBE-GGA", "state": "relaxed", "cell": [[5.5540, 0.0000, 0.0000], [0.0000, 5.5540, 0.0000], [0.0000, 0.0000, 3.6295]], "species": ["As", "Hg", "Hg", "N", "Si"], "fractional_positions": [[0.0000, 0.0000, 0.0000], [0.5000, 0.0000, 0.0000], [0.0000, 0.5000, 0.0000], [0.0000, 0.0000, 0.5000], [0.5000, 0.5000, 0.5000]], "raw_formation_energy_kj_per_mol_atoms": 95.2, "space_group": "P4/mmm, No. 123", "mass_density_g_cm3": 7.69, "n_ef_per_ev_fu": 1.8}